Record 1
Material: Dy2Mn3Si5
Method: DFT, meta-GGA SCAN
State: PBEsol geometry

a = 5.3547 Å, b = 10.4509 Å, c = 10.4509 Å
α = 90.00°, β = 90.00°, γ = 90.00°
Sites, in units of the cell vectors:
Mn  0.7500  0.5000  0.0000
Mn  0.0000  0.3539  0.3786
Mn  0.2500  0.0000  0.5000
Mn  0.0000  0.6214  0.3539
Mn  0.5000  0.8539  0.1214
Mn  0.5000  0.1461  0.8786
Mn  0.2500  0.5000  0.0000
Mn  0.5000  0.8786  0.8539
Mn  0.5000  0.1214  0.1461
Mn  0.7500  0.0000  0.5000
Mn  0.0000  0.3786  0.6461
Mn  0.0000  0.6461  0.6214
Si  0.7500  0.8257  0.6743
Si  0.5000  0.6851  0.9751
Si  0.0000  0.4751  0.1851
Si  0.5000  0.9751  0.3149
Si  0.0000  0.1851  0.5249
Si  0.5000  0.0249  0.6851
Si  0.2500  0.6743  0.1743
Si  0.2500  0.3257  0.8257
Si  0.7500  0.1743  0.3257
Si  0.7596  0.5000  0.5000
Si  0.2404  0.5000  0.5000
Si  0.5000  0.3149  0.0249
Si  0.0000  0.8149  0.4751
Si  0.2500  0.1743  0.3257
Si  0.0000  0.5249  0.8149
Si  0.7500  0.3257  0.8257
Si  0.7404  0.0000  0.0000
Si  0.2596  0.0000  0.0000
Si  0.2500  0.8257  0.6743
Si  0.7500  0.6743  0.1743
Dy  0.5000  0.2638  0.5757
Dy  0.5000  0.7362  0.4243
Dy  0.0000  0.0757  0.7638
Dy  0.5000  0.5757  0.7362
Dy  0.5000  0.4243  0.2638
Dy  0.0000  0.9243  0.2362
Dy  0.0000  0.2362  0.0757
Dy  0.0000  0.7638  0.9243

**ΔE_f (raw)**: -63 kJ per mole of atoms
**Total energy**: -827.77 eV per cell
**Calculated volume**: 14.6 A^3/atom

=====

Record 2
Material: BaRhCl2
Method: DFT, meta-GGA SCAN
State: PBEsol geometry

a = 3.8411 Å, b = 4.7945 Å, c = 4.7945 Å
α = 90.00°, β = 90.00°, γ = 90.00°
Sites, in units of the cell vectors:
Rh  0.5000  0.5000  0.5000
Cl  0.0000  0.0000  0.5000
Cl  0.0000  0.5000  0.0000
Ba  0.5000  0.0000  0.0000

**ΔE_f (raw)**: -93 kJ per mole of atoms
**Total energy**: -93.13 eV per cell
**Calculated volume**: 22.1 A^3/atom

=====

Record 3
Material: Sb2Pb
Method: DFT, meta-GGA SCAN
State: PBEsol geometry

a = 3.8657 Å, b = 3.8657 Å, c = 6.2294 Å
α = 108.08°, β = 108.08°, γ = 90.00°
Sites, in units of the cell vectors:
Pb  0.0000  0.0000  0.0000
Sb  0.3146  0.3146  0.6293
Sb  0.6854  0.6854  0.3707

**ΔE_f (raw)**: 13 kJ per mole of atoms
**Total energy**: -149.90 eV per cell
**Calculated volume**: 27.9 A^3/atom

=====

Record 4
Material: BaCa2Ir
Method: DFT, meta-GGA SCAN
State: PBEsol geometry

a = 4.2729 Å, b = 4.2729 Å, c = 9.4739 Å
α = 76.97°, β = 76.97°, γ = 60.00°
Sites, in units of the cell vectors:
Ca  0.2137  0.2137  0.3589
Ca  0.7863  0.7863  0.6411
Ba  0.0000  0.0000  0.0000
Ir  0.5000  0.5000  0.5000

**Total energy**: -130.07 eV per cell
**Calculated formation energy**: -24 meV/atom
**Calculated volume**: 36.2 A^3/atom

=====

Q: What is the total energy in the second record?
A: -93.13 eV per cell

=====

Q: calculated volume of number 3 (Sb2Pb)?
A: 27.9 A^3/atom

=====

Q: total energy of number 1 (Dy2Mn3Si5)?
A: -827.77 eV per cell

=====

Copy entry 2 word for word.
Material: BaRhCl2
Method: DFT, meta-GGA SCAN
State: PBEsol geometry

a = 3.8411 Å, b = 4.7945 Å, c = 4.7945 Å
α = 90.00°, β = 90.00°, γ = 90.00°
Sites, in units of the cell vectors:
Rh  0.5000  0.5000  0.5000
Cl  0.0000  0.0000  0.5000
Cl  0.0000  0.5000  0.0000
Ba  0.5000  0.0000  0.0000

**ΔE_f (raw)**: -93 kJ per mole of atoms
**Total energy**: -93.13 eV per cell
**Calculated volume**: 22.1 A^3/atom